# Sr2SiCl

Crystalline Sr2SiCl at its relaxed geometry (PBE, the Alexandria database).

Lattice parameters (Å, degrees): 4.6325 6.3267 8.2766 90.00 90.00 90.00
Last column: nearest neighbours and their distance in Å.
Space group Immm (No. 71)
Symmetry-distinct sites (fractional):
Sr 0.0000 0.0000 0.2313  2 Cl 3.01, 2 Si 3.21
Si 0.0000 0.5000 0.0000  4 Sr 3.21
Cl 0.0000 0.5000 0.5000  4 Sr 3.01

Computed properties:
ρ, Mg/m³: 3.27
ΔE to the lowest computed polymorph, meV per atom: 219.6
Formation energy from raw total energies, eV/atom: -0.837



# SrSi2Cl

Crystalline SrSi2Cl at its relaxed geometry (PBE, the Alexandria database).

Lattice parameters (Å, degrees): 3.8787 3.8787 6.3556 90.00 90.00 90.00
Last column: nearest neighbours and their distance in Å.
Space group P4/mmm (No. 123)
Symmetry-distinct sites (fractional):
Sr 0.0000 0.0000 0.0000  4 Cl 2.74
Si 0.0000 0.5000 0.5000  4 Si 2.74
Cl 0.5000 0.5000 0.0000  4 Sr 2.74

Computed properties:
ρ, Mg/m³: 3.11
ΔE to the lowest computed polymorph, meV per atom: 346.9
Formation energy from raw total energies, eV/atom: -0.442



# SrSi2Cl

Crystalline SrSi2Cl at its relaxed geometry (PBE, the Alexandria database).

Lattice parameters (Å, degrees): 7.1497 7.1497 7.1497 90.00 90.00 90.00
Last column: nearest neighbours and their distance in Å.
Space group F-43m (No. 216)
Symmetry-distinct sites (fractional):
Sr 0.0000 0.0000 0.0000  4 Cl 3.10, 4 Si 3.10
Si 0.0000 0.0000 0.5000  4 Cl 3.10, 4 Si 3.10
Si 0.2500 0.2500 0.2500  4 Sr 3.10, 4 Si 3.10
Cl 0.2500 0.2500 0.7500  4 Sr 3.10, 4 Si 3.10

Computed properties:
ρ, Mg/m³: 3.26
ΔE to the lowest computed polymorph, meV per atom: 604.8
Formation energy from raw total energies, eV/atom: -0.184